Here is a relaxed structure of BaHgPS2 from the Alexandria database. Energies are from PBE-GGA.

Energy above the most stable polymorph in this dataset in eV per atom: 0.000
Symmetry: No. 123
N(E_F) in states/eV per atom: 0.7919
Energy relative to the elements, uncorrected in eV/f.u.: -0.92
Density in kg/m³: 5297

Cell: 5.244 5.244 4.937 Å, 90.00 90.00 90.00°
Site moments in Bohr magnetons follow the coordinates.
Positions (direct):
Ba  0.500  0.500  0.500  0.01
P  0.000  0.000  0.500  0.41
S  0.000  0.500  0.000  0.09
S  0.500  0.000  0.000  0.09
Hg  0.000  0.000  0.000  0.02